[1]
! SmB2Ir3, optimized geometry, DFT PBE-GGA; values from VASP
&SYSTEM
  ibrav = 0, nat = 18, ntyp = 3
/
ATOMIC_SPECIES
Sm 150.36 Sm.upf
B 10.81 B.upf
Ir 192.22 Ir.upf
CELL_PARAMETERS angstrom
8.965 0.000 0.000
-4.483 7.764 0.000
0.000 0.000 3.630
ATOMIC_POSITIONS crystal
Sm 0.000 0.000 0.000
Sm 0.333 0.667 0.500
Sm 0.667 0.333 0.500
B 0.188 0.377 0.000
B 0.188 0.812 0.000
B 0.377 0.188 0.000
B 0.623 0.812 0.000
B 0.812 0.188 0.000
B 0.812 0.623 0.000
Ir 0.000 0.283 0.500
Ir 0.000 0.500 0.000
Ir 0.000 0.717 0.500
Ir 0.283 0.000 0.500
Ir 0.283 0.283 0.500
Ir 0.500 0.000 0.000
Ir 0.500 0.500 0.000
Ir 0.717 0.000 0.500
Ir 0.717 0.717 0.500
! VASP energy (eV/atom): -7.780
! Space group: P6/mmm (191)
! V (Å³ per cell): 252.7

***

[2]
! Ca2GaSb2Rh5, optimized geometry, DFT PBE-GGA; values from VASP
&SYSTEM
  ibrav = 0, nat = 20, ntyp = 4
/
ATOMIC_SPECIES
Ca 40.08 Ca.upf
Ga 69.72 Ga.upf
Sb 121.76 Sb.upf
Rh 102.91 Rh.upf
CELL_PARAMETERS angstrom
10.249 0.000 0.000
0.000 10.249 0.000
0.000 0.000 3.561
ATOMIC_POSITIONS crystal
Ca 0.168 0.332 0.000
Ca 0.332 0.832 0.000
Ca 0.668 0.168 0.000
Ca 0.832 0.668 0.000
Ga 0.000 0.000 0.000
Ga 0.500 0.500 0.000
Sb 0.133 0.633 0.000
Sb 0.367 0.133 0.000
Sb 0.633 0.867 0.000
Sb 0.867 0.367 0.000
Rh 0.000 0.500 0.500
Rh 0.061 0.808 0.500
Rh 0.192 0.061 0.500
Rh 0.308 0.561 0.500
Rh 0.439 0.308 0.500
Rh 0.500 0.000 0.500
Rh 0.561 0.692 0.500
Rh 0.692 0.439 0.500
Rh 0.808 0.939 0.500
Rh 0.939 0.192 0.500
! VASP energy (eV/atom): -5.699
! Space group: P4/mbm (127)
! V (Å³ per cell): 374.1
! Energy relative to the elements, uncorrected (kJ/mol of formula units): -478

***

[3]
! NbVTeBr2, optimized geometry, DFT PBE-GGA; values from VASP
&SYSTEM
  ibrav = 0, nat = 5, ntyp = 4
/
ATOMIC_SPECIES
Nb 92.91 Nb.upf
V 50.94 V.upf
Te 127.60 Te.upf
Br 79.90 Br.upf
CELL_PARAMETERS angstrom
5.041 0.000 0.000
0.000 5.041 0.000
0.000 0.000 5.771
ATOMIC_POSITIONS crystal
Nb 0.000 0.000 0.000
V 0.500 0.500 0.500
Te 0.000 0.000 0.500
Br 0.000 0.500 0.000
Br 0.500 0.000 0.000
! VASP energy (eV/atom): -4.752
! Space group: P4/mmm (123)
! V (Å³ per cell): 146.7
! Energy relative to the elements, uncorrected (kJ/mol of formula units): 185

***

[4]
! TlRh2W, optimized geometry, DFT PBE-GGA; values from VASP
&SYSTEM
  ibrav = 0, nat = 12, ntyp = 3
/
ATOMIC_SPECIES
Tl 204.38 Tl.upf
Rh 102.91 Rh.upf
W 183.84 W.upf
CELL_PARAMETERS angstrom
2.932 0.000 0.000
-1.466 2.539 0.000
0.000 0.000 27.228
ATOMIC_POSITIONS crystal
Tl 0.000 0.000 0.000
Tl 0.333 0.667 0.667
Tl 0.667 0.333 0.333
Rh 0.000 0.000 0.244
Rh 0.000 0.000 0.756
Rh 0.333 0.667 0.423
Rh 0.333 0.667 0.910
Rh 0.667 0.333 0.090
Rh 0.667 0.333 0.577
W 0.000 0.000 0.500
W 0.333 0.667 0.167
W 0.667 0.333 0.833
! VASP energy (eV/atom): -7.337
! Space group: R-3m (166)
! V (Å³ per cell): 202.6
! Relative energy among the computed polymorphs (kJ per mole of atoms): 17.7

***

[5]
! Tm6Te3AsPb2, optimized geometry, DFT PBE-GGA; values from VASP
&SYSTEM
  ibrav = 0, nat = 12, ntyp = 4
/
ATOMIC_SPECIES
Tm 168.93 Tm.upf
Te 127.60 Te.upf
As 74.92 As.upf
Pb 207.20 Pb.upf
CELL_PARAMETERS angstrom
9.397 -2.152 0.000
9.397 2.152 0.000
-1.985 0.000 8.421
ATOMIC_POSITIONS crystal
Tm 0.003 0.003 0.228
Tm 0.332 0.332 0.425
Tm 0.343 0.343 0.916
Tm 0.657 0.657 0.084
Tm 0.668 0.668 0.575
Tm 0.997 0.997 0.772
Te 0.167 0.167 0.834
Te 0.500 0.500 0.500
Te 0.833 0.833 0.166
As 0.500 0.500 0.000
Pb 0.167 0.167 0.330
Pb 0.833 0.833 0.670
! VASP energy (eV/atom): -5.064
! Space group: C2/m (12)
! V (Å³ per cell): 340.6
! Energy relative to the elements, uncorrected (kJ/mol of formula units): -1201

***

[6]
! Ca2TlHg2Pd5, optimized geometry, DFT PBE-GGA; values from VASP
&SYSTEM
  ibrav = 0, nat = 20, ntyp = 4
/
ATOMIC_SPECIES
Ca 40.08 Ca.upf
Tl 204.38 Tl.upf
Hg 200.59 Hg.upf
Pd 106.42 Pd.upf
CELL_PARAMETERS angstrom
10.050 0.000 0.000
0.000 10.050 0.000
0.000 0.000 4.057
ATOMIC_POSITIONS crystal
Ca 0.171 0.329 0.000
Ca 0.329 0.829 0.000
Ca 0.671 0.171 0.000
Ca 0.829 0.671 0.000
Tl 0.000 0.000 0.000
Tl 0.500 0.500 0.000
Hg 0.128 0.628 0.000
Hg 0.372 0.128 0.000
Hg 0.628 0.872 0.000
Hg 0.872 0.372 0.000
Pd 0.000 0.500 0.500
Pd 0.063 0.803 0.500
Pd 0.197 0.063 0.500
Pd 0.303 0.563 0.500
Pd 0.437 0.303 0.500
Pd 0.500 0.000 0.500
Pd 0.563 0.697 0.500
Pd 0.697 0.437 0.500
Pd 0.803 0.937 0.500
Pd 0.937 0.197 0.500
! VASP energy (eV/atom): -3.721
! Space group: P4/mbm (127)
! V (Å³ per cell): 409.7

***

[7]
! K2ZrSc2Se6, optimized geometry, DFT PBE-GGA; values from VASP
&SYSTEM
  ibrav = 0, nat = 11, ntyp = 4
/
ATOMIC_SPECIES
K 39.10 K.upf
Zr 91.22 Zr.upf
Sc 44.96 Sc.upf
Se 78.96 Se.upf
CELL_PARAMETERS angstrom
3.394 -5.875 0.000
3.394 5.875 0.000
-2.273 0.000 7.861
ATOMIC_POSITIONS crystal
K 0.167 0.833 0.000
K 0.833 0.167 0.000
Zr 0.000 0.000 0.500
Sc 0.333 0.667 0.500
Sc 0.667 0.333 0.500
Se 0.067 0.397 0.695
Se 0.268 0.268 0.306
Se 0.397 0.067 0.695
Se 0.603 0.933 0.305
Se 0.732 0.732 0.694
Se 0.933 0.603 0.305
! VASP energy (eV/atom): -5.599
! Space group: C2/m (12)
! V (Å³ per cell): 313.5
! Energy relative to the elements, uncorrected (kJ/mol of formula units): -1666

***

[8]
! Si2GeO, optimized geometry, DFT PBE-GGA; values from VASP
&SYSTEM
  ibrav = 0, nat = 16, ntyp = 3
/
ATOMIC_SPECIES
Si 28.09 Si.upf
Ge 72.64 Ge.upf
O 16.00 O.upf
CELL_PARAMETERS angstrom
6.000 0.000 0.000
0.000 6.000 0.000
0.000 0.000 6.000
ATOMIC_POSITIONS crystal
Si 0.250 0.250 0.250
Si 0.250 0.250 0.750
Si 0.250 0.750 0.250
Si 0.250 0.750 0.750
Si 0.750 0.250 0.250
Si 0.750 0.250 0.750
Si 0.750 0.750 0.250
Si 0.750 0.750 0.750
Ge 0.000 0.000 0.000
Ge 0.000 0.500 0.500
Ge 0.500 0.000 0.500
Ge 0.500 0.500 0.000
O 0.000 0.000 0.500
O 0.000 0.500 0.000
O 0.500 0.000 0.000
O 0.500 0.500 0.500
! VASP energy (eV/atom): -4.741
! Space group: Fm-3m (225)
! V (Å³ per cell): 216.0
! Relative energy among the computed polymorphs (kJ per mole of atoms): 55.3
! Energy relative to the elements, uncorrected (kJ/mol of formula units): 141

***

[9]
! LuScBeGa, optimized geometry, DFT PBE-GGA; values from VASP
&SYSTEM
  ibrav = 0, nat = 16, ntyp = 4
/
ATOMIC_SPECIES
Lu 174.97 Lu.upf
Sc 44.96 Sc.upf
Be 9.01 Be.upf
Ga 69.72 Ga.upf
CELL_PARAMETERS angstrom
6.683 0.000 0.000
0.000 6.683 0.000
0.000 0.000 6.683
ATOMIC_POSITIONS crystal
Lu 0.000 0.000 0.000
Lu 0.000 0.500 0.500
Lu 0.500 0.000 0.500
Lu 0.500 0.500 0.000
Sc 0.000 0.000 0.500
Sc 0.000 0.500 0.000
Sc 0.500 0.000 0.000
Sc 0.500 0.500 0.500
Be 0.250 0.250 0.750
Be 0.250 0.750 0.250
Be 0.750 0.250 0.250
Be 0.750 0.750 0.750
Ga 0.250 0.250 0.250
Ga 0.250 0.750 0.750
Ga 0.750 0.250 0.750
Ga 0.750 0.750 0.250
! VASP energy (eV/atom): -4.687
! Space group: F-43m (216)
! V (Å³ per cell): 298.5

***

[10]
! Sb2RhBr, optimized geometry, DFT PBE-GGA; values from VASP
&SYSTEM
  ibrav = 0, nat = 12, ntyp = 3
/
ATOMIC_SPECIES
Sb 121.76 Sb.upf
Rh 102.91 Rh.upf
Br 79.90 Br.upf
CELL_PARAMETERS angstrom
3.614 0.000 0.000
-1.807 3.130 0.000
0.000 0.000 26.175
ATOMIC_POSITIONS crystal
Sb 0.000 0.000 0.000
Sb 0.000 0.000 0.236
Sb 0.333 0.667 0.667
Sb 0.333 0.667 0.903
Sb 0.667 0.333 0.333
Sb 0.667 0.333 0.569
Rh 0.000 0.000 0.512
Rh 0.333 0.667 0.178
Rh 0.667 0.333 0.845
Br 0.000 0.000 0.779
Br 0.333 0.667 0.446
Br 0.667 0.333 0.113
! VASP energy (eV/atom): -4.347
! Space group: R3m (160)
! V (Å³ per cell): 296.1
! Relative energy among the computed polymorphs (kJ per mole of atoms): 29.2
! Energy relative to the elements, uncorrected (kJ/mol of formula units): -11

***

Q: VASP energy of number 2 (Ca2GaSb2Rh5)?
A: -5.699 eV/atom